(1)
Entry from the Alexandria database: crystalline LaPm2Pr5Tm at its relaxed geometry (PBE-GGA).

a b c (Å): 9.077 9.077 10.127
angles (deg): 116.62 116.62 90.00
Fractional positions:
Pr1 0.845 0.929 0.275
Pm1 0.885 0.615 0.000
Pr2 0.429 0.345 0.275
La1 0.750 0.750 0.500
Pr3 0.345 0.845 0.275
Pr4 0.500 0.500 0.000
Pr5 0.071 0.571 0.725
Pr6 0.655 0.155 0.725
Pm2 0.385 0.885 0.000
Tm1 0.250 0.750 0.500
Pr7 0.000 0.000 0.000
Pr8 0.929 0.429 0.275
Pm3 0.615 0.115 0.000
Tm2 0.750 0.250 0.500
Pm4 0.115 0.385 0.000
Pr9 0.155 0.071 0.725
Pr10 0.571 0.655 0.725
La2 0.250 0.250 0.500

## Properties
- total moment (μB/cell) = 0.000
- calculated formation energy (eV/f.u.) = 2.44

***

(2)
Entry from the Alexandria database: crystalline LaPm2Pr4Tm2 at its relaxed geometry (PBE-GGA).

a b c (Å): 5.174 8.181 8.160
angles (deg): 107.42 90.00 108.43
Fractional positions:
Tm1 0.331 0.662 0.002
La1 0.000 0.000 0.000
Tm2 0.669 0.338 0.998
Pm1 0.888 0.776 0.332
Pr1 0.222 0.445 0.328
Pm2 0.112 0.224 0.668
Pr2 0.445 0.890 0.668
Pr3 0.778 0.555 0.672
Pr4 0.555 0.110 0.332

## Properties
- total moment (μB/cell) = 0.000
- calculated formation energy (eV/f.u.) = 0.21

***

(3)
Entry from the Alexandria database: crystalline LaPm2PrTm5 at its relaxed geometry (PBE-GGA).

a b c (Å): 8.706 8.706 9.911
angles (deg): 116.05 116.05 90.00
Fractional positions:
Pm1 0.883 0.617 0.000
Pm2 0.617 0.117 0.000
Pm3 0.117 0.383 0.000
Pm4 0.383 0.883 0.000
Tm1 0.657 0.157 0.730
Tm2 0.500 0.500 0.000
Tm3 0.927 0.427 0.270
Pr1 0.750 0.250 0.500
La1 0.750 0.750 0.500
Tm4 0.573 0.657 0.730
Tm5 0.343 0.843 0.270
Tm6 0.157 0.073 0.730
Tm7 0.073 0.573 0.730
Tm8 0.843 0.927 0.270
Tm9 0.427 0.343 0.270
Pr2 0.250 0.750 0.500
La2 0.250 0.250 0.500
Tm10 0.000 0.000 0.000

## Properties
- total moment (μB/cell) = 0.000
- calculated formation energy (eV/f.u.) = 2.21

***

(4)
Entry from the Alexandria database: crystalline LaPmPr5Tm2 at its relaxed geometry (PBE-GGA).

a b c (Å): 5.764 10.695 10.718
angles (deg): 90.00 90.00 105.63
Fractional positions:
Pr1 0.612 0.224 0.528
La1 0.584 0.168 0.946
Pr2 0.984 0.968 0.525
Pr3 0.719 0.439 0.812
Pr4 0.388 0.776 0.028
Pr5 0.476 0.952 0.741
Pm1 0.802 0.603 0.512
Pr6 0.706 0.411 0.203
Pr7 0.294 0.589 0.703
Tm1 0.888 0.775 0.235
Pr8 0.524 0.048 0.241
Tm2 0.112 0.225 0.735
Pr9 0.281 0.561 0.312
Pm2 0.198 0.397 0.012
Pr10 0.016 0.032 0.025
Tm3 0.117 0.234 0.323
La2 0.416 0.832 0.446
Tm4 0.883 0.766 0.823

## Properties
- total moment (μB/cell) = 0.000
- calculated formation energy (eV/f.u.) = 1.32

***

(5)
Entry from the Alexandria database: crystalline La3PmPrTm at its relaxed geometry (PBE-GGA).

a b c (Å): 5.246 8.165 11.018
angles (deg): 116.04 90.00 90.00
Fractional positions:
Tm1 0.750 0.879 0.378
Pm1 0.250 0.629 0.127
La1 0.750 0.369 0.541
La2 0.250 0.631 0.459
La3 0.250 0.620 0.791
La4 0.750 0.380 0.209
Pr1 0.250 0.122 0.294
Pr2 0.750 0.878 0.706
La5 0.250 0.125 0.956
Tm2 0.250 0.121 0.622
La6 0.750 0.875 0.044
Pm2 0.750 0.371 0.873

## Properties
- total moment (μB/cell) = 0.000
- calculated formation energy (eV/f.u.) = 0.15

***

(6)
Entry from the Alexandria database: crystalline LaPm2Pr2Tm at its relaxed geometry (PBE-GGA).

a b c (Å): 5.795 7.153 10.037
angles (deg): 90.00 90.00 90.00
Fractional positions:
Pm1 0.000 0.757 0.165
Pm2 0.500 0.258 0.331
Pr1 0.500 0.008 0.000
Tm1 0.500 0.757 0.335
Tm2 0.500 0.257 0.665
Pm3 0.500 0.758 0.669
Pm4 0.000 0.257 0.835
La1 0.000 0.008 0.499
La2 0.000 0.508 0.501
Pr2 0.000 0.258 0.170
Pr3 0.000 0.758 0.830
Pr4 0.500 0.508 0.000

## Properties
- total moment (μB/cell) = 0.000
- calculated formation energy (eV/f.u.) = 0.33

***

(7)
Entry from the Alexandria database: crystalline La2PmPr2Tm at its relaxed geometry (PBE-GGA).

a b c (Å): 5.805 7.161 10.100
angles (deg): 90.00 90.00 90.00
Fractional positions:
Pr1 0.000 0.757 0.165
La1 0.000 0.258 0.173
Tm1 0.500 0.757 0.339
La2 0.000 0.758 0.827
Pm1 0.000 0.008 0.500
Tm2 0.500 0.257 0.661
Pr2 0.500 0.258 0.332
Pr3 0.500 0.758 0.668
Pr4 0.000 0.257 0.835
La3 0.500 0.007 0.000
La4 0.500 0.507 0.000
Pm2 0.000 0.508 0.500

## Properties
- total moment (μB/cell) = 0.000
- calculated formation energy (eV/f.u.) = 0.31

***

(8)
Entry from the Alexandria database: crystalline La5PmPr2Tm at its relaxed geometry (PBE-GGA).

a b c (Å): 8.960 8.960 10.305
angles (deg): 115.77 115.77 90.00
Fractional positions:
La1 0.573 0.641 0.714
Tm1 0.250 0.750 0.500
Tm2 0.750 0.250 0.500
La2 0.000 0.000 0.000
La3 0.141 0.073 0.714
La4 0.641 0.141 0.714
Pm1 0.750 0.750 0.500
Pr1 0.382 0.882 0.000
La5 0.500 0.500 0.000
La6 0.427 0.359 0.286
La7 0.073 0.573 0.714
La8 0.859 0.927 0.286
La9 0.359 0.859 0.286
La10 0.927 0.427 0.286
Pr2 0.882 0.618 0.000
Pr3 0.118 0.382 0.000
Pm2 0.250 0.250 0.500
Pr4 0.618 0.118 0.000

## Properties
- total moment (μB/cell) = 0.000
- calculated formation energy (eV/f.u.) = 2.37

***

(9)
Entry from the Alexandria database: crystalline La4PmPr2Tm at its relaxed geometry (PBE-GGA).

a b c (Å): 5.259 5.228 11.583
angles (deg): 63.14 90.00 90.00
Fractional positions:
La1 0.000 0.247 0.252
Pm1 0.500 0.500 0.000
La2 0.000 0.753 0.748
Tm1 0.000 0.500 0.500
Pr1 0.500 0.000 0.500
La3 0.500 0.748 0.252
La4 0.500 0.252 0.748
Pr2 0.000 0.000 0.000

## Properties
- total moment (μB/cell) = 0.000
- calculated formation energy (eV/f.u.) = 0.11

***

(10)
Entry from the Alexandria database: crystalline LaPm5PrTm2 at its relaxed geometry (PBE-GGA).

a b c (Å): 5.704 10.511 10.767
angles (deg): 90.00 90.00 105.74
Fractional positions:
Pr1 0.798 0.595 0.510
Pm1 0.705 0.409 0.205
Pr2 0.202 0.405 0.010
Pm2 0.610 0.220 0.527
La1 0.418 0.836 0.448
Tm1 0.884 0.767 0.823
La2 0.582 0.164 0.948
Pm3 0.718 0.436 0.810
Tm2 0.111 0.222 0.735
Pm4 0.523 0.046 0.239
Pm5 0.477 0.954 0.739
Pm6 0.017 0.034 0.027
Pm7 0.282 0.564 0.310
Pm8 0.390 0.780 0.027
Tm3 0.889 0.778 0.235
Tm4 0.116 0.233 0.323
Pm9 0.983 0.966 0.527
Pm10 0.295 0.591 0.705

## Properties
- total moment (μB/cell) = 0.000
- calculated formation energy (eV/f.u.) = 1.36